1.
Er3TmCo | the Alexandria database | PBE | relaxed; SG = P2_1/c (14); DFT total energy = -5.088 eV/atom; volume = 521.3 Å³/cell; energy of formation from the pure elements = -0.8 kcal/mol of atoms
1.0
-0.7174 0.1011 7.0909
3.9422 -6.5644 0.4924
6.5757 7.5062 0.5583
Er Co Tm
12 4 4
Cartesian
0.9134 -0.3681 7.1775
7.5201 4.5849 5.7763
4.5429 3.3369 4.0796
2.2803 -3.5421 2.3653
5.2575 -2.2940 4.0620
4.1737 0.8401 6.0768
3.8282 -5.1277 4.9575
5.9723 6.1705 3.1841
8.8870 1.4110 0.9641
5.6268 0.2028 2.0648
2.8600 2.3927 1.1699
6.9404 -1.3498 6.9717
4.3189 -5.4296 2.2828
7.6022 -1.6758 2.6070
2.1983 2.7187 5.5346
5.4815 6.4724 5.8588
2.4678 -0.1801 3.4422
3.7648 -2.4907 7.1888
6.0357 3.5335 0.9528
7.3327 1.2230 4.6994


2.
ErTm4Co | the Alexandria database | PBE | relaxed; SG = Immm (71); DFT total energy = -4.984 eV/atom; volume = 323.8 Å³/cell; energy of formation from the pure elements = -1.3 kcal/mol of atoms
1.0
5.6921 0.0000 -0.4773
0.0000 7.2153 -0.0002
-2.1874 -3.6078 8.0670
Tm Er Co
8 2 2
Cartesian
0.5022 -1.8296 5.9673
0.2283 3.6076 2.7079
-2.1874 -1.9855 8.0669
5.6920 5.5929 -0.4774
0.5022 1.8293 5.9673
3.0024 1.7781 1.6222
3.0024 5.4370 1.6222
3.2764 -0.0001 4.8816
0.2589 -0.0001 3.0827
3.2457 3.6075 4.5068
1.7091 3.6077 -0.1425
1.7955 -0.0003 7.7320


3.
ErTmCo4 | the Alexandria database | PBE | relaxed; SG = F-43m (216); DFT total energy = -6.499 eV/atom; volume = 89.9 Å³/cell; energy of formation from the pure elements = -5.9 kcal/mol of atoms
1.0
-3.2976 -1.1773 -3.6100
1.5940 -2.1495 -4.2581
-1.0827 -4.8200 -0.9421
Tm Co Er
1 4 1
Cartesian
-0.6966 -2.0367 -2.2025
-1.7413 -5.0912 -5.5058
-2.5379 -4.0170 -3.3778
-1.2002 -2.6824 -5.0350
-0.0933 -4.5029 -3.7017
0.0000 0.0000 0.0000


4.
Er4TmCo5 | the Alexandria database | PBE | relaxed; SG = P4/mmm (123); DFT total energy = -6.025 eV/atom; volume = 180.0 Å³/cell; energy of formation from the pure elements = -4.6 kcal/mol of atoms
1.0
3.3081 0.0000 0.0000
0.0000 3.3081 0.0000
0.0000 0.0000 16.4504
Tm Co Er
1 5 4
Cartesian
0.0000 0.0000 0.0000
1.6540 1.6540 14.8193
1.6540 1.6540 1.6310
1.6540 1.6540 11.5205
1.6540 1.6540 4.9298
1.6540 1.6540 8.2252
0.0000 0.0000 3.2825
0.0000 0.0000 9.8725
0.0000 0.0000 13.1679
0.0000 0.0000 6.5779


5.
ErTm3Co | the Alexandria database | PBE | relaxed; SG = Cmcm (63); DFT total energy = -5.103 eV/atom; volume = 276.1 Å³/cell; energy of formation from the pure elements = -2.0 kcal/mol of atoms
1.0
6.1310 -0.4189 0.0000
-3.7508 6.0920 0.0000
0.0000 0.0000 7.7183
Tm Co Er
6 2 2
Cartesian
3.2972 4.1819 3.8596
3.2972 4.1819 7.7178
0.1681 4.3094 1.9296
-0.9170 1.4911 3.8586
-0.9170 1.4911 0.0005
2.2121 1.3636 5.7887
0.0008 0.0014 5.7887
2.3793 5.6717 1.9296
0.1661 4.3066 5.7887
2.2141 1.3665 1.9296


6.
Er5Tm4Co2 | the Alexandria database | PBE | relaxed; SG = P2/m (10); DFT total energy = -5.004 eV/atom; volume = 295.3 Å³/cell; energy of formation from the pure elements = -0.3 kcal/mol of atoms
1.0
-1.6196 3.0622 -0.5401
-5.6773 -1.8917 6.2996
6.1924 4.3489 6.0880
Er Co Tm
5 2 4
Cartesian
0.4619 2.1078 10.5660
1.4015 1.9882 7.0701
0.0532 0.3494 1.8215
-2.8386 -0.9458 3.1498
-0.8864 0.4690 5.3174
-3.2686 -0.2813 8.2069
3.7837 2.7385 4.1807
3.2243 4.7530 5.9008
-2.1358 2.3086 8.1149
-4.3287 0.7664 5.9467
1.0313 3.2108 3.7326


Number 4 is which compound? Er4TmCo5


Repeat the third record exactly.
ErTmCo4 | the Alexandria database | PBE | relaxed; SG = F-43m (216); DFT total energy = -6.499 eV/atom; volume = 89.9 Å³/cell; energy of formation from the pure elements = -5.9 kcal/mol of atoms
1.0
-3.2976 -1.1773 -3.6100
1.5940 -2.1495 -4.2581
-1.0827 -4.8200 -0.9421
Tm Co Er
1 4 1
Cartesian
-0.6966 -2.0367 -2.2025
-1.7413 -5.0912 -5.5058
-2.5379 -4.0170 -3.3778
-1.2002 -2.6824 -5.0350
-0.0933 -4.5029 -3.7017
0.0000 0.0000 0.0000


Among the records above, which one has the lowest energy of formation from the pure elements? ErTmCo4


Which value of DFT total energy does entry 5 give? -5.103 eV/atom